1.
VASP calculation (meta-GGA SCAN) on NbOs3Pb at its PBEsol-relaxed geometry.

POSCAR file:
```
NbOs3Pb
1.0
4.769 0.000 0.000
0.000 4.769 0.000
0.000 0.000 4.769
Pb Nb Os
1 1 3
Cartesian
0.000 0.000 0.000
2.385 2.385 2.385
0.000 2.385 0.000
0.000 0.000 2.385
2.385 0.000 0.000
```

2.
VASP calculation (meta-GGA SCAN) on RbNb2ZnOs at its PBEsol-relaxed geometry.

POSCAR file:
```
RbNb2ZnOs
1.0
4.678 0.000 0.000
0.000 4.678 0.000
0.000 0.000 4.681
Nb Os Zn Rb
2 1 1 1
Cartesian
0.000 2.339 0.000
2.339 0.000 0.000
2.339 2.339 2.341
0.000 0.000 2.341
0.000 0.000 0.000
```

3.
VASP calculation (meta-GGA SCAN) on NbReOs2 at its PBEsol-relaxed geometry.

POSCAR file:
```
NbReOs2
1.0
-4.279 -0.231 -1.040
-2.356 -3.550 1.135
-3.057 0.302 3.163
Re Nb Os
1 1 2
Cartesian
-4.846 -1.740 1.630
0.000 0.000 0.000
-2.423 -0.870 0.815
-7.269 -2.609 2.444
```

4.
VASP calculation (meta-GGA SCAN) on ZrNbRe2Os at its PBEsol-relaxed geometry.

POSCAR file:
```
ZrNbRe2Os
1.0
-2.401 0.545 3.936
-0.220 -4.605 0.504
3.963 0.074 2.407
Re Nb Os Zr
2 1 1 1
Cartesian
1.982 0.037 1.204
-0.110 -2.302 0.252
0.671 -1.993 3.423
-1.200 0.273 1.968
0.000 0.000 0.000
```

What are the energy relative to the elements values for these records? In order: 3093, 3234, 290, 2349 meV per atom.